Entry 1:
# Sc2BP PBE-GGA optimized geometry
data_Sc2BP
_chemical_formula_sum 'Sc8 B4 P4'
_cell_length_a 6.633
_cell_length_b 6.633
_cell_length_c 6.163
_cell_angle_alpha 90.00
_cell_angle_beta 90.00
_cell_angle_gamma 90.00
_space_group_name_H-M_alt 'I -4 2 d'
_space_group_IT_number 122
_space_group_name_Hall 'I -4 2bw'
loop_
_atom_site_label
_atom_site_type_symbol
_atom_site_fract_x
_atom_site_fract_y
_atom_site_fract_z
Sc1 Sc 0.224 0.250 0.125
B1 B 0.000 0.000 0.000
P1 P 0.000 0.000 0.500
# ΔE to the lowest computed polymorph (meV per atom): 0.0
# DOS at the Fermi energy (states/eV per atom): 0.354

Entry 2:
# SrAg2Se PBE-GGA optimized geometry
data_SrAg2Se
_chemical_formula_sum 'Sr2 Ag4 Se2'
_cell_length_a 4.193
_cell_length_b 4.193
_cell_length_c 11.681
_cell_angle_alpha 90.00
_cell_angle_beta 90.00
_cell_angle_gamma 90.00
_space_group_name_H-M_alt 'I 4/m m m'
_space_group_IT_number 139
_space_group_name_Hall '-I 4 2'
loop_
_atom_site_label
_atom_site_type_symbol
_atom_site_fract_x
_atom_site_fract_y
_atom_site_fract_z
Sr1 Sr 0.000 0.000 0.000
Ag1 Ag 0.000 0.500 0.250
Se1 Se 0.000 0.000 0.500
# Formation energy without anion corrections (eV per formula unit): -2.07
# DOS at the Fermi energy (states/eV per atom): 0.465

Entry 3:
# NdHoTh2Bi5 PBE-GGA optimized geometry
data_NdHoTh2Bi5
_chemical_formula_sum 'Nd1 Ho1 Th2 Bi5'
_cell_length_a 5.398
_cell_length_b 5.398
_cell_length_c 11.889
_cell_angle_alpha 90.00
_cell_angle_beta 90.00
_cell_angle_gamma 90.00
_space_group_name_H-M_alt 'P 4/m m m'
_space_group_IT_number 123
_space_group_name_Hall '-P 4 2'
loop_
_atom_site_label
_atom_site_type_symbol
_atom_site_fract_x
_atom_site_fract_y
_atom_site_fract_z
Nd1 Nd 0.000 0.000 0.000
Ho1 Ho 0.000 0.000 0.500
Th1 Th 0.500 0.500 0.299
Bi1 Bi 0.000 0.000 0.251
Bi2 Bi 0.000 0.500 0.500
Bi3 Bi 0.500 0.500 0.000
# DOS at the Fermi energy (states/eV per atom): 0.544
# Raw total energy (eV for the cell shown): -43.51

Entry 4:
# Tb2Pm2NdDy4 PBE-GGA optimized geometry
data_Tb2Pm2NdDy4
_chemical_formula_sum 'Tb4 Pm4 Nd2 Dy8'
_cell_length_a 18.771
_cell_length_b 3.617
_cell_length_c 9.609
_cell_angle_alpha 90.00
_cell_angle_beta 115.72
_cell_angle_gamma 90.00
_space_group_name_H-M_alt 'C 1 2/m 1'
_space_group_IT_number 12
_space_group_name_Hall '-C 2y'
loop_
_atom_site_label
_atom_site_type_symbol
_atom_site_fract_x
_atom_site_fract_y
_atom_site_fract_z
Tb1 Tb 0.147 0.000 0.164
Pm1 Pm 0.167 0.500 0.500
Nd1 Nd 0.000 0.000 0.500
Dy1 Dy 0.019 0.500 0.836
Dy2 Dy 0.186 0.000 0.836
# DOS at the Fermi energy (states/eV per atom): 1.335
# Raw total energy (eV for the cell shown): -83.93

Entry 5:
# OsI PBE-GGA optimized geometry
data_OsI
_chemical_formula_sum 'Os8 I8'
_cell_length_a 8.541
_cell_length_b 8.541
_cell_length_c 7.051
_cell_angle_alpha 90.00
_cell_angle_beta 90.00
_cell_angle_gamma 90.00
_space_group_name_H-M_alt 'P 41 21 2'
_space_group_IT_number 92
_space_group_name_Hall 'P 4abw 2nw'
loop_
_atom_site_label
_atom_site_type_symbol
_atom_site_fract_x
_atom_site_fract_y
_atom_site_fract_z
Os1 Os 0.018 0.371 0.156
I1 I 0.092 0.908 0.750
I2 I 0.218 0.782 0.250
# Formation energy without anion corrections (eV per formula unit): 1.92
# ΔE to the lowest computed polymorph (meV per atom): 353.5
# DOS at the Fermi energy (states/eV per atom): 0.655

Entry 6:
# HfP2O2 PBE-GGA optimized geometry
data_HfP2O2
_chemical_formula_sum 'Hf1 P2 O2'
_cell_length_a 5.099
_cell_length_b 5.099
_cell_length_c 3.908
_cell_angle_alpha 90.00
_cell_angle_beta 90.00
_cell_angle_gamma 90.00
_space_group_name_H-M_alt 'P 4/m m m'
_space_group_IT_number 123
_space_group_name_Hall '-P 4 2'
loop_
_atom_site_label
_atom_site_type_symbol
_atom_site_fract_x
_atom_site_fract_y
_atom_site_fract_z
Hf1 Hf 0.000 0.000 0.000
P1 P 0.000 0.500 0.000
O1 O 0.000 0.000 0.500
O2 O 0.500 0.500 0.500
# Formation energy without anion corrections (eV per formula unit): 0.68
# ΔE to the lowest computed polymorph (meV per atom): 1201.9
# DOS at the Fermi energy (states/eV per atom): 0.715

Q: What is the formula in the sixth record?
A: HfP2O2